First-principles (PBE) data for a relaxed structure of K2ZnIn12, as listed in Alexandria via LeMat-Bulk.

Values from the calculation:
* uncorrected energy: -2.4812 eV/atom
* volume: 886 Å³/cell
* energy of formation: -0.059 eV/atom

Lattice parameters (Å, degrees): 7.0142 7.0142 18.0046 90.00 90.00 90.00
Fractional positions:
In  0.8354  0.6646  0.4319
In  0.6646  0.1646  0.4319
K  0.0000  0.5000  0.7516
In  0.3354  0.1646  0.5681
In  0.8354  0.3354  0.5681
In  0.7499  0.2499  0.9154
Zn  0.5000  0.0000  0.0000
In  0.3354  0.8354  0.4319
In  0.7499  0.7501  0.0846
In  0.1646  0.3354  0.4319
In  0.5000  0.5000  0.3436
In  0.7501  0.7499  0.9154
In  0.2501  0.7501  0.9154
In  0.5000  0.5000  0.8200
In  0.0000  0.0000  0.1800
In  0.6646  0.8354  0.5681
In  0.1646  0.6646  0.5681
K  0.5000  0.0000  0.2484
In  0.7501  0.2501  0.0846
In  0.5000  0.5000  0.6564
In  0.0000  0.0000  0.8200
In  0.2499  0.7499  0.0846
In  0.5000  0.5000  0.1800
K  0.0000  0.5000  0.2484
In  0.2501  0.2499  0.0846
Zn  0.0000  0.5000  0.0000
In  0.0000  0.0000  0.6564
In  0.0000  0.0000  0.3436
K  0.5000  0.0000  0.7516
In  0.2499  0.2501  0.9154

=====

First-principles (PBE) data for a relaxed structure of CaNiAsCl2, as listed in Alexandria via LeMat-Bulk.

Values from the calculation:
* uncorrected energy: -3.6474 eV/atom
* volume: 126 Å³/cell

Lattice parameters (Å, degrees): 5.3943 4.3365 5.3943 90.00 90.00 90.00
Fractional positions:
Ca  0.5000  0.5000  0.5000
Cl  0.5000  0.0000  0.0000
Cl  0.0000  0.0000  0.5000
Ni  0.0000  0.5000  0.0000
As  0.0000  0.0000  0.0000

=====

First-principles (PBE) data for a relaxed structure of LaSm4Ho10, as listed in Alexandria via LeMat-Bulk.

Values from the calculation:
* uncorrected energy: -4.1784 eV/atom
* volume: 519 Å³/cell
* energy of formation: 0.460 eV/atom

Lattice parameters (Å, degrees): 10.7628 8.7863 8.7863 67.97 52.23 52.23
Fractional positions:
Ho  0.7072  0.3401  0.9063
Ho  0.6136  0.0937  0.3401
Ho  0.2928  0.6599  0.0937
Sm  0.2139  0.2350  0.3373
Sm  0.5511  0.6627  0.2350
Ho  0.0463  0.3401  0.9063
Ho  0.9537  0.6599  0.0937
La  0.0000  0.0000  0.0000
Ho  0.9527  0.0937  0.3401
Ho  0.0473  0.9063  0.6599
Ho  0.3864  0.9063  0.6599
Ho  0.7500  0.5000  0.5000
Sm  0.7861  0.7650  0.6627
Sm  0.4489  0.3373  0.7650
Ho  0.2500  0.5000  0.5000

=====

First-principles (PBE) data for a relaxed structure of Zn2TcNi, as listed in Alexandria via LeMat-Bulk.

Values from the calculation:
* uncorrected energy: -4.6385 eV/atom
* volume: 55 Å³/cell
* energy of formation: 0.035 eV/atom

Lattice parameters (Å, degrees): 8.8625 8.8625 8.8625 17.47 17.47 17.47
Fractional positions:
Tc  0.7552  0.7552  0.7552
Zn  0.2437  0.2437  0.2437
Zn  0.0020  0.0020  0.0020
Ni  0.4990  0.4990  0.4990

=====

First-principles (PBE) data for a relaxed structure of TlCd4In, as listed in Alexandria via LeMat-Bulk.

Values from the calculation:
* uncorrected energy: -1.4061 eV/atom
* volume: 156 Å³/cell
* energy of formation: 0.055 eV/atom

Lattice parameters (Å, degrees): 6.0425 6.0425 6.0425 60.00 60.00 60.00
Fractional positions:
Cd  0.1248  0.6251  0.6251
Tl  0.0000  0.0000  0.0000
Cd  0.6251  0.6251  0.1248
In  0.2500  0.2500  0.2500
Cd  0.6251  0.6251  0.6251
Cd  0.6251  0.1248  0.6251

=====

First-principles (PBE) data for a relaxed structure of CsTh2Te4, as listed in Alexandria via LeMat-Bulk.

Values from the calculation:
* uncorrected energy: -5.1248 eV/atom
* volume: 597 Å³/cell

Lattice parameters (Å, degrees): 8.6261 8.6260 9.9481 113.50 113.50 94.60
Fractional positions:
Th  0.1250  0.3760  0.7507
Te  0.8404  0.5797  0.6470
Te  0.4086  0.1707  0.8518
Te  0.9327  0.1933  0.3531
Th  0.6254  0.3741  0.2494
Te  0.3188  0.5566  0.1483
Th  0.6243  0.3752  0.7493
Te  0.8068  0.0688  0.6482
Te  0.4206  0.1584  0.3517
Te  0.4435  0.6827  0.8530
Cs  0.9994  0.9998  0.0000
Cs  0.2493  0.7499  0.5000
Th  0.6258  0.8747  0.2506
Te  0.8296  0.5902  0.1468

=====

First-principles (PBE) data for a relaxed structure of Ni2AsBr, as listed in Alexandria via LeMat-Bulk.

Values from the calculation:
* uncorrected energy: -4.0592 eV/atom
* volume: 60 Å³/cell

Lattice parameters (Å, degrees): 4.4040 4.4040 4.4040 60.00 60.00 60.00
Fractional positions:
Ni  0.2500  0.2500  0.2500
Ni  0.7500  0.7500  0.7500
Br  0.5000  0.5000  0.5000
As  0.0000  0.0000  0.0000

=====

First-principles (PBE) data for a relaxed structure of BaSrCd4, as listed in Alexandria via LeMat-Bulk.

Values from the calculation:
* uncorrected energy: -1.5034 eV/atom
* volume: 179 Å³/cell
* energy of formation: -0.293 eV/atom

Lattice parameters (Å, degrees): 6.3287 6.3287 6.3287 60.00 60.00 60.00
Fractional positions:
Sr  0.2500  0.2500  0.2500
Cd  0.6250  0.1250  0.6250
Cd  0.6250  0.6250  0.6250
Cd  0.1250  0.6250  0.6250
Ba  0.0000  0.0000  0.0000
Cd  0.6250  0.6250  0.1250

=====

First-principles (PBE) data for a relaxed structure of ZrTa2Ir, as listed in Alexandria via LeMat-Bulk.

Values from the calculation:
* uncorrected energy: -10.5219 eV/atom
* volume: 71 Å³/cell
* energy of formation: -0.243 eV/atom

Lattice parameters (Å, degrees): 5.3517 5.4087 2.9382 79.73 79.12 116.32
Fractional positions:
Ta  0.0000  0.0000  0.0000
Ta  0.5000  0.0000  0.5000
Ir  0.5000  0.5000  0.0000
Zr  0.0000  0.5000  0.5000

=====

First-principles (PBE) data for a relaxed structure of Rb4CaTh3Se8, as listed in Alexandria via LeMat-Bulk.

Values from the calculation:
* uncorrected energy: -5.0963 eV/atom
* volume: 523 Å³/cell

Lattice parameters (Å, degrees): 8.6579 9.4827 8.6579 117.17 120.00 90.00
Fractional positions:
Se  0.2365  0.7018  0.4731
Se  0.7635  0.2982  0.5269
Rb  0.5000  0.0000  0.0000
Th  0.0000  0.5000  0.5000
Th  0.5000  0.5000  0.5000
Rb  0.0000  0.0000  0.5000
Se  0.2652  0.2958  0.5305
Se  0.2712  0.2982  0.0347
Se  0.2365  0.7018  0.9653
Rb  0.0000  0.0000  0.0000
Rb  0.5000  0.0000  0.5000
Th  0.5000  0.5000  0.0000
Ca  0.0000  0.5000  0.0000
Se  0.7288  0.7018  0.9653
Se  0.7635  0.2982  0.0347
Se  0.7348  0.7042  0.4695

=====

First-principles (PBE) data for a relaxed structure of VCd3Br, as listed in Alexandria via LeMat-Bulk.

Values from the calculation:
* uncorrected energy: -1.6564 eV/atom
* volume: 169 Å³/cell

Lattice parameters (Å, degrees): 5.5298 5.5298 5.5298 90.00 90.00 90.00
Fractional positions:
Cd  0.0000  0.5000  0.0000
Cd  0.5000  0.0000  0.0000
V  0.5000  0.5000  0.5000
Cd  0.0000  0.0000  0.5000
Br  0.0000  0.0000  0.0000

=====

First-principles (PBE) data for a relaxed structure of RbPa2F8, as listed in Alexandria via LeMat-Bulk.

Values from the calculation:
* uncorrected energy: -6.7284 eV/atom
* volume: 188 Å³/cell

Lattice parameters (Å, degrees): 4.5565 6.7721 6.7721 114.53 94.19 94.19
Fractional positions:
F  0.5489  0.3311  0.0389
F  0.5489  0.0389  0.3311
F  0.4512  0.6617  0.9549
Rb  0.0000  0.9960  0.9960
F  0.7618  0.5948  0.5948
Pa  0.5000  0.6708  0.3217
F  0.4512  0.9549  0.6617
F  0.0003  0.7263  0.2694
F  0.2373  0.4004  0.4004
Pa  0.5000  0.3217  0.6708
F  0.0003  0.2694  0.7263

=====

First-principles (PBE) data for a relaxed structure of Ba2LiCd2Pd5, as listed in Alexandria via LeMat-Bulk.

Values from the calculation:
* uncorrected energy: -3.6541 eV/atom
* volume: 442 Å³/cell
* energy of formation: -0.299 eV/atom

Lattice parameters (Å, degrees): 3.6566 10.9898 10.9898 90.00 90.00 90.00
Fractional positions:
Ba  0.0000  0.6727  0.1727
Li  0.0000  0.0000  0.0000
Cd  0.0000  0.8708  0.3708
Pd  0.5000  0.1842  0.0551
Cd  0.0000  0.1292  0.6292
Pd  0.5000  0.8158  0.9449
Cd  0.0000  0.3708  0.1292
Ba  0.0000  0.3273  0.8273
Pd  0.5000  0.5551  0.6842
Pd  0.5000  0.3158  0.5551
Pd  0.5000  0.9449  0.1842
Pd  0.5000  0.6842  0.4449
Pd  0.5000  0.0000  0.5000
Pd  0.5000  0.4449  0.3158
Li  0.0000  0.5000  0.5000
Ba  0.0000  0.1727  0.3273
Pd  0.5000  0.5000  0.0000
Cd  0.0000  0.6292  0.8708
Pd  0.5000  0.0551  0.8158
Ba  0.0000  0.8273  0.6727

=====

First-principles (PBE) data for a relaxed structure of Ta4Nb3W2, as listed in Alexandria via LeMat-Bulk.

Values from the calculation:
* uncorrected energy: -11.5353 eV/atom
* volume: 159 Å³/cell
* energy of formation: -0.032 eV/atom

Lattice parameters (Å, degrees): 3.2694 7.3206 7.2011 108.00 103.12 90.00
Fractional positions:
Nb  0.1125  0.6737  0.2250
Ta  0.7788  0.6735  0.5577
Ta  0.4440  0.6651  0.8879
Nb  0.8875  0.3263  0.7750
W  0.6683  0.9994  0.3366
Ta  0.2212  0.3265  0.4423
W  0.3317  0.0006  0.6634
Nb  0.0000  0.0000  0.0000
Ta  0.5560  0.3349  0.1121

=====

First-principles (PBE) data for a relaxed structure of Na2Sn2Bi, as listed in Alexandria via LeMat-Bulk.

Values from the calculation:
* uncorrected energy: -2.8922 eV/atom
* volume: 285 Å³/cell
* energy of formation: 0.013 eV/atom

Lattice parameters (Å, degrees): 9.2095 9.2095 3.3546 90.00 90.00 90.00
Fractional positions:
Sn  0.6818  0.8182  0.5000
Na  0.1181  0.3819  0.0000
Sn  0.8182  0.3182  0.5000
Bi  0.0000  0.0000  0.0000
Na  0.6181  0.1181  0.0000
Sn  0.1818  0.6818  0.5000
Na  0.8819  0.6181  0.0000
Bi  0.5000  0.5000  0.0000
Na  0.3819  0.8819  0.0000
Sn  0.3182  0.1818  0.5000

=====

First-principles (PBE) data for a relaxed structure of HfMnVTc, as listed in Alexandria via LeMat-Bulk.

Values from the calculation:
* uncorrected energy: -9.8855 eV/atom
* volume: 59 Å³/cell
* energy of formation: -0.234 eV/atom

Lattice parameters (Å, degrees): 4.3774 4.3774 4.3774 60.00 60.00 60.00
Fractional positions:
V  0.7500  0.7500  0.7500
Mn  0.0000  0.0000  0.0000
Hf  0.2500  0.2500  0.2500
Tc  0.5000  0.5000  0.5000

=====

First-principles (PBE) data for a relaxed structure of Pr2TlAu, as listed in Alexandria via LeMat-Bulk.

Values from the calculation:
* uncorrected energy: -4.1971 eV/atom
* volume: 128 Å³/cell
* energy of formation: -0.396 eV/atom

Lattice parameters (Å, degrees): 4.1289 4.1289 8.9939 76.73 76.73 60.00
Fractional positions:
Pr  0.2601  0.2601  0.2196
Pr  0.0732  0.0732  0.7805
Au  0.6665  0.6665  0.0006
Tl  0.5002  0.5002  0.4993

=====

First-principles (PBE) data for a relaxed structure of Ce2PrHoIn4, as listed in Alexandria via LeMat-Bulk.

Values from the calculation:
* uncorrected energy: -4.4156 eV/atom
* volume: 228 Å³/cell
* energy of formation: -0.393 eV/atom

Lattice parameters (Å, degrees): 5.4338 5.4338 9.4420 73.28 73.28 60.00
Fractional positions:
Pr  0.0000  0.0000  0.0000
In  0.6233  0.6233  0.1301
In  0.3767  0.3767  0.8699
Ce  0.7509  0.7509  0.7472
In  0.8736  0.8736  0.3792
Ho  0.5000  0.5000  0.5000
Ce  0.2491  0.2491  0.2528
In  0.1264  0.1264  0.6208

=====

First-principles (PBE) data for a relaxed structure of PmY5Er2, as listed in Alexandria via LeMat-Bulk.

Values from the calculation:
* uncorrected energy: -5.7531 eV/atom
* volume: 512 Å³/cell
* energy of formation: 0.021 eV/atom

Lattice parameters (Å, degrees): 5.0286 7.1333 14.2726 90.00 90.00 90.00
Fractional positions:
Y  0.0000  0.0000  0.0000
Y  0.5000  0.7507  0.1254
Y  0.0000  0.0011  0.2498
Y  0.5000  0.7493  0.6254
Er  0.5000  0.7492  0.8748
Y  0.0000  0.5000  0.5000
Pm  0.0000  0.5000  0.0000
Y  0.0000  0.4989  0.7498
Y  0.0000  0.5011  0.2502
Er  0.5000  0.2508  0.1252
Pm  0.0000  0.0000  0.5000
Er  0.5000  0.2492  0.6252
Y  0.5000  0.2507  0.3746
Er  0.5000  0.7508  0.3748
Y  0.0000  0.9989  0.7502
Y  0.5000  0.2493  0.8746

=====

First-principles (PBE) data for a relaxed structure of MgNi5As3, as listed in Alexandria via LeMat-Bulk.

Values from the calculation:
* uncorrected energy: -5.2346 eV/atom
* volume: 265 Å³/cell
* energy of formation: -0.296 eV/atom

Lattice parameters (Å, degrees): 3.6029 6.5532 11.6836 90.00 90.00 105.96
Fractional positions:
Ni  0.0000  0.0000  0.5000
Ni  0.1962  0.3923  0.5598
Ni  0.8038  0.6077  0.0598
Ni  0.8038  0.6077  0.4402
Ni  0.4440  0.8880  0.1431
Ni  0.5560  0.1120  0.8569
As  0.8596  0.7193  0.2500
As  0.3792  0.7584  0.5541
Ni  0.4440  0.8880  0.3569
Ni  0.5560  0.1120  0.6431
As  0.1404  0.2807  0.7500
As  0.3792  0.7584  0.9459
Ni  0.1962  0.3923  0.9402
As  0.6208  0.2416  0.4459
Mg  0.9207  0.8414  0.7500
Ni  0.0000  0.0000  0.0000
As  0.6208  0.2416  0.0541
Mg  0.0793  0.1586  0.2500

=====

First-principles (PBE) data for a relaxed structure of KCa3Pr2Te6, as listed in Alexandria via LeMat-Bulk.

Values from the calculation:
* uncorrected energy: -4.4567 eV/atom
* volume: 409 Å³/cell

Lattice parameters (Å, degrees): 4.5433 9.2754 10.2157 102.69 102.85 90.00
Fractional positions:
Pr  0.1648  0.3340  0.3296
K  0.5000  0.0000  0.0000
Ca  0.1623  0.8358  0.3247
Te  0.0014  0.2686  0.0028
Te  0.6675  0.5875  0.3351
Pr  0.8352  0.6660  0.6704
Te  0.3325  0.4125  0.6649
Ca  0.8377  0.1642  0.6753
Te  0.9986  0.7314  0.9972
Ca  0.5000  0.5000  0.0000
Te  0.6746  0.0897  0.3493
Te  0.3254  0.9103  0.6507

=====

First-principles (PBE) data for a relaxed structure of HSe2S, as listed in Alexandria via LeMat-Bulk.

Values from the calculation:
* uncorrected energy: -2.9402 eV/atom
* volume: 139 Å³/cell

Lattice parameters (Å, degrees): 5.9565 5.9565 5.7492 58.80 58.80 90.00
Fractional positions:
Se  0.1827  0.6250  0.2500
Se  0.5673  0.1250  0.2500
H  0.5000  0.5000  0.0000
Se  0.8750  0.8173  0.7500
S  0.7500  0.2500  0.5000
H  0.2500  0.7500  0.5000
Se  0.3750  0.4327  0.7500
S  0.0000  0.0000  0.0000